(1)
RbNaSmCl5 | PBE | relaxed

Results
The final energy comes out at -4.117 eV/atom. Its volume is 283.88 Å³/f.u.

abc: 7.9065 7.9065 10.4179
angles: 102.53 102.53 109.74
Last column: nearest neighbours and their distance in Å.
Positions (direct):
Rb1 0.1616 0.8384 0.7500  5 Cl 3.39-3.48
Rb2 0.8384 0.1616 0.2500  5 Cl 3.39-3.48
Na1 0.1876 0.8124 0.2500  4 Cl 2.67-2.68
Na2 0.8124 0.1876 0.7500  4 Cl 2.67-2.68
Sm1 0.5000 0.5000 0.0000  6 Cl 2.69-2.75
Sm2 0.5000 0.5000 0.5000  6 Cl 2.69-2.75
Cl1 0.1406 0.2465 0.9318  1 Na 2.68, 1 Sm 2.69
Cl2 0.2052 0.5914 0.4094  1 Na 2.67, 1 Sm 2.71
Cl3 0.2465 0.1406 0.4318  1 Na 2.68, 1 Sm 2.69
Cl4 0.4086 0.7948 0.0906  1 Na 2.67, 1 Sm 2.71
Cl5 0.4309 0.5691 0.7500  2 Sm 2.75
Cl6 0.5691 0.4309 0.2500  2 Sm 2.75
Cl7 0.5914 0.2052 0.9094  1 Na 2.67, 1 Sm 2.71
Cl8 0.7535 0.8594 0.5682  1 Na 2.68, 1 Sm 2.69
Cl9 0.7948 0.4086 0.5906  1 Na 2.67, 1 Sm 2.71
Cl10 0.8594 0.7535 0.0682  1 Na 2.68, 1 Sm 2.69

(2)
RbNaSm2Cl8 | PBE | relaxed

Results
The final energy comes out at -4.335 eV/atom. Its volume is 411.01 Å³/f.u.

abc: 6.9197 8.5619 6.9571
angles: 90.00 94.33 90.00
Last column: nearest neighbours and their distance in Å.
Positions (direct):
Rb1 0.0000 0.0000 0.0000  6 Cl 3.15-3.37
Na1 0.0000 0.5000 0.0000  4 Cl 2.81
Sm1 0.5000 0.2561 0.5000  6 Cl 2.66-2.79
Sm2 0.5000 0.7439 0.5000  6 Cl 2.66-2.79
Cl1 0.2261 0.2776 0.2125  1 Sm 2.66, 1 Na 2.81
Cl2 0.2261 0.7224 0.2125  1 Sm 2.66, 1 Na 2.81
Cl3 0.3151 0.5000 0.6734  2 Sm 2.77
Cl4 0.3238 0.0000 0.6623  2 Sm 2.79
Cl5 0.6762 0.0000 0.3377  2 Sm 2.79
Cl6 0.6849 0.5000 0.3266  2 Sm 2.77
Cl7 0.7739 0.2776 0.7875  1 Sm 2.66, 1 Na 2.81
Cl8 0.7739 0.7224 0.7875  1 Sm 2.66, 1 Na 2.81

(3)
Rb2NaSmCl6 | PBE | relaxed

Results
The final energy comes out at -3.988 eV/atom. Its volume is 324.00 Å³/f.u.

abc: 7.7094 7.7094 7.7094
angles: 60.00 60.00 60.00
Last column: nearest neighbours and their distance in Å.
Positions (direct):
Rb1 0.2500 0.2500 0.2500  12 Cl 3.85
Rb2 0.7500 0.7500 0.7500  12 Cl 3.85
Na1 0.0000 0.0000 0.0000  6 Cl 2.76
Sm1 0.5000 0.5000 0.5000  6 Cl 2.69
Cl1 0.2531 0.2531 0.7469  1 Sm 2.69, 1 Na 2.76
Cl2 0.2531 0.7469 0.2531  1 Sm 2.69, 1 Na 2.76
Cl3 0.2531 0.7469 0.7469  1 Sm 2.69, 1 Na 2.76
Cl4 0.7469 0.2531 0.2531  1 Sm 2.69, 1 Na 2.76
Cl5 0.7469 0.2531 0.7469  1 Sm 2.69, 1 Na 2.76
Cl6 0.7469 0.7469 0.2531  1 Sm 2.69, 1 Na 2.76

(4)
RbNa2SnCl8 | PBE | relaxed

Results
The final energy comes out at -3.136 eV/atom. Its volume is 356.87 Å³/f.u.

abc: 5.7888 6.6247 9.3113
angles: 90.04 90.18 91.95
Last column: nearest neighbours and their distance in Å.
Positions (direct):
Rb1 0.0000 0.0000 0.0000  6 Cl 3.32-3.52
Na1 0.4988 0.5000 0.7241  6 Cl 2.82-2.94
Na2 0.5012 0.5000 0.2759  6 Cl 2.82-2.94
Sn1 0.0000 0.0000 0.5000  6 Cl 2.47-2.48
Cl1 0.2336 0.8537 0.3068  1 Sn 2.47
Cl2 0.2358 0.8559 0.6939  1 Sn 2.47
Cl3 0.2411 0.3173 0.4992  1 Sn 2.48
Cl4 0.2538 0.4906 0.0000  2 Cl 2.85-2.95, 2 Na 2.94
Cl5 0.7462 0.5094 0.0000  2 Cl 2.85-2.95, 2 Na 2.94
Cl6 0.7589 0.6827 0.5008  1 Sn 2.48
Cl7 0.7642 0.1441 0.3061  1 Sn 2.47
Cl8 0.7664 0.1463 0.6932  1 Sn 2.47

(5)
RbNaSnCl6 | PBE | relaxed

Results
The final energy comes out at -3.329 eV/atom. Its volume is 303.72 Å³/f.u.

abc: 7.0400 7.0400 7.0748
angles: 90.00 90.00 120.00
Last column: nearest neighbours and their distance in Å.
Positions (direct):
Rb1 0.0000 0.0000 0.0000  6 Cl 3.35
Na1 0.3333 0.6667 0.5000  6 Cl 2.83
Sn1 0.6667 0.3333 0.5000  6 Cl 2.48
Cl1 0.3887 0.0381 0.7031  1 Sn 2.48
Cl2 0.3887 0.3506 0.2969  1 Sn 2.48
Cl3 0.6494 0.0381 0.2969  1 Sn 2.48
Cl4 0.6494 0.6113 0.7031  1 Sn 2.48
Cl5 0.9619 0.3506 0.7031  1 Sn 2.48
Cl6 0.9619 0.6113 0.2969  1 Sn 2.48

(6)
RbNaSnCl4 | PBE | relaxed

Results
The final energy comes out at -3.414 eV/atom. Its volume is 275.46 Å³/f.u.

abc: 8.2599 7.9174 8.8600
angles: 90.00 108.04 90.00
Last column: nearest neighbours and their distance in Å.
Positions (direct):
Rb1 0.2058 0.2500 0.0122  6 Cl 3.18-3.47
Rb2 0.7942 0.7500 0.9878  6 Cl 3.18-3.47
Na1 0.3048 0.7500 0.3333  4 Cl 2.64-2.71
Na2 0.6952 0.2500 0.6667  4 Cl 2.64-2.71
Sn1 0.1895 0.2500 0.4872  4 Cl 2.57-2.83
Sn2 0.8105 0.7500 0.5128  4 Cl 2.57-2.83
Cl1 0.0665 0.5020 0.2679  1 Na 2.71, 1 Sn 2.75
Cl2 0.0665 0.9980 0.2679  1 Na 2.71, 1 Sn 2.75
Cl3 0.4408 0.2500 0.7879  1 Na 2.64, 1 Sn 2.83
Cl4 0.4484 0.2500 0.3842  1 Sn 2.57, 1 Na 2.69
Cl5 0.5516 0.7500 0.6158  1 Sn 2.57, 1 Na 2.69
Cl6 0.5592 0.7500 0.2121  1 Na 2.64, 1 Sn 2.83
Cl7 0.9335 0.0020 0.7321  1 Na 2.71, 1 Sn 2.75
Cl8 0.9335 0.4980 0.7321  1 Na 2.71, 1 Sn 2.75

(7)
RbNa2Sn2Cl7 | PBE | relaxed

Results
The final energy comes out at -3.475 eV/atom. Its volume is 376.77 Å³/f.u.

abc: 12.2075 12.2075 12.2075
angles: 153.11 38.70 152.70
Last column: nearest neighbours and their distance in Å.
Positions (direct):
Rb1 0.0000 0.0000 0.0000  4 Cl 3.46-3.59
Na1 0.3558 0.6059 0.7499  6 Cl 2.84-2.93
Na2 0.8560 0.6059 0.2501  6 Cl 2.84-2.93
Sn1 0.4872 0.1085 0.3787  5 Cl 2.64-2.84
Sn2 0.7298 0.1085 0.6213  5 Cl 2.64-2.84
Cl1 0.1902 0.5658 0.6245  1 Sn 2.64, 1 Na 2.90
Cl2 0.3630 0.1070 0.2559  1 Sn 2.83, 4 Na 2.84-2.89
Cl3 0.4937 0.6164 0.8773  2 Sn 2.84, 1 Na 2.93
Cl4 0.6572 0.1572 0.5000  2 Sn 2.81
Cl5 0.7391 0.6164 0.1227  2 Sn 2.84, 1 Na 2.93
Cl6 0.8511 0.1070 0.7441  1 Sn 2.83, 4 Na 2.84-2.89
Cl7 0.9413 0.5658 0.3755  1 Sn 2.64, 1 Na 2.90

(8)
RbNaSn2Cl6 | PBE | relaxed

Results
The final energy comes out at -3.480 eV/atom. Its volume is 328.69 Å³/f.u.

abc: 9.4263 9.4263 9.6613
angles: 115.92 115.92 63.14
Last column: nearest neighbours and their distance in Å.
Positions (direct):
Rb1 0.1555 0.8445 0.7500  8 Cl 3.40-3.68
Rb2 0.8445 0.1555 0.2500  8 Cl 3.40-3.68
Na1 0.3084 0.6916 0.2500  6 Cl 2.88-3.00
Na2 0.6916 0.3084 0.7500  6 Cl 2.88-3.00
Sn1 0.2244 0.2978 0.2858  3 Cl 2.56-2.63
Sn2 0.2978 0.2244 0.7858  3 Cl 2.56-2.63
Sn3 0.7022 0.7756 0.2142  3 Cl 2.56-2.63
Sn4 0.7756 0.7022 0.7142  3 Cl 2.56-2.63
Cl1 0.0072 0.7558 0.9890  1 Sn 2.61, 1 Na 2.88
Cl2 0.0921 0.6240 0.3524  1 Sn 2.63
Cl3 0.2442 0.9928 0.5110  1 Sn 2.61, 1 Na 2.88
Cl4 0.3299 0.4206 0.6913  1 Sn 2.56
Cl5 0.3760 0.9079 0.1475  1 Sn 2.63
Cl6 0.4206 0.3299 0.1913  1 Sn 2.56
Cl7 0.5794 0.6701 0.8087  1 Sn 2.56
Cl8 0.6240 0.0921 0.8524  1 Sn 2.63
Cl9 0.6701 0.5794 0.3087  1 Sn 2.56
Cl10 0.7558 0.0072 0.4890  1 Sn 2.61, 1 Na 2.88
Cl11 0.9079 0.3760 0.6476  1 Sn 2.63
Cl12 0.9928 0.2442 0.0110  1 Sn 2.61, 1 Na 2.88

(9)
Rb2NaSrCl | PBE | relaxed

Results
The final energy comes out at -1.986 eV/atom. Its volume is 274.09 Å³/f.u.

abc: 6.8031 6.8031 5.9221
angles: 90.00 90.00 90.00
Last column: nearest neighbours and their distance in Å.
Positions (direct):
Rb1 0.0000 0.5000 0.0000  2 Cl 3.40
Rb2 0.5000 0.0000 0.0000  2 Cl 3.40
Na1 0.0000 0.0000 0.5000  8 Rb 4.51, 4 Sr 4.81
Sr1 0.5000 0.5000 0.5000  2 Cl 2.96
Cl1 0.5000 0.5000 0.0000  2 Sr 2.96

(10)
RbNaSr2Cl6 | PBE | relaxed

Results
The final energy comes out at -3.895 eV/atom. Its volume is 330.69 Å³/f.u.

abc: 7.9737 7.9737 7.9737
angles: 56.64 56.64 56.64
Last column: nearest neighbours and their distance in Å.
Positions (direct):
Rb1 0.0000 0.0000 0.0000  6 Cl 3.22-3.46
Na1 0.4803 0.4803 0.4803  6 Cl 2.92-2.96
Sr1 0.2764 0.2764 0.2764  6 Cl 2.90-2.94
Sr2 0.7873 0.7873 0.7873  6 Cl 2.89-2.93
Cl1 0.0702 0.6234 0.4401  2 Sr 2.89-2.94, 1 Na 2.96, 1 Rb 3.22
Cl2 0.1812 0.5555 0.8845  2 Sr 2.90-2.93, 1 Na 2.92
Cl3 0.4401 0.0702 0.6234  2 Sr 2.89-2.94, 1 Na 2.96, 1 Rb 3.22
Cl4 0.5555 0.8845 0.1812  2 Sr 2.90-2.93, 1 Na 2.92
Cl5 0.6234 0.4401 0.0702  2 Sr 2.89-2.94, 1 Na 2.96, 1 Rb 3.22
Cl6 0.8845 0.1812 0.5555  2 Sr 2.90-2.93, 1 Na 2.92

(11)
RbNaTaCl6 | PBE | relaxed

Results
The final energy comes out at -4.352 eV/atom. Its volume is 298.76 Å³/f.u.

abc: 7.0110 7.0110 14.0364
angles: 90.00 90.00 120.00
Last column: nearest neighbours and their distance in Å.
Positions (direct):
Rb1 0.0000 0.0000 0.0000  6 Cl 3.35
Rb2 0.0000 0.0000 0.5000  6 Cl 3.35
Na1 0.3333 0.6667 0.2500  6 Cl 2.84
Na2 0.6667 0.3333 0.7500  6 Cl 2.84
Ta1 0.3333 0.6667 0.7500  6 Cl 2.43
Ta2 0.6667 0.3333 0.2500  6 Cl 2.43
Cl1 0.0440 0.3920 0.6497  1 Ta 2.43
Cl2 0.0440 0.6520 0.8503  1 Ta 2.43
Cl3 0.3480 0.3920 0.8503  1 Ta 2.43
Cl4 0.3480 0.9560 0.6497  1 Ta 2.43
Cl5 0.3920 0.0440 0.1497  1 Ta 2.43
Cl6 0.3920 0.3480 0.3503  1 Ta 2.43
Cl7 0.6080 0.6520 0.6497  1 Ta 2.43
Cl8 0.6080 0.9560 0.8503  1 Ta 2.43
Cl9 0.6520 0.0440 0.3503  1 Ta 2.43
Cl10 0.6520 0.6080 0.1497  1 Ta 2.43
Cl11 0.9560 0.3480 0.1497  1 Ta 2.43
Cl12 0.9560 0.6080 0.3503  1 Ta 2.43

(12)
RbNa2TaCl8 | PBE | relaxed

Results
The final energy comes out at -4.080 eV/atom. Its volume is 413.89 Å³/f.u.

abc: 5.8324 7.5702 10.1548
angles: 70.00 79.49 88.66
Last column: nearest neighbours and their distance in Å.
Positions (direct):
Rb1 0.0000 0.0000 0.0000  6 Cl 3.42-3.82
Na1 0.4351 0.4668 0.1843  3 Cl 2.64-2.88
Na2 0.5649 0.5332 0.8157  3 Cl 2.64-2.88
Ta1 0.0000 0.5000 0.5000  6 Cl 2.35-2.40
Cl1 0.1317 0.4864 0.7141  1 Ta 2.40
Cl2 0.2414 0.2524 0.4772  1 Ta 2.37
Cl3 0.2966 0.7245 0.3573  1 Ta 2.35
Cl4 0.4920 0.2258 0.0463  2 Na 2.64-2.65
Cl5 0.5080 0.7742 0.9537  2 Na 2.64-2.65
Cl6 0.7034 0.2755 0.6427  1 Ta 2.35
Cl7 0.7586 0.7476 0.5228  1 Ta 2.37
Cl8 0.8683 0.5136 0.2859  1 Ta 2.40

Q: The highest final energy belongs to which entry?
A: Rb2NaSrCl

Q: Which of these has the highest final energy?
A: Rb2NaSrCl